(1)
Material: YFeIr2
Method: DFT, PBE
State: relaxed

Summary:
* space group: Pmm2

Cell and atoms, written as POSCAR:
```
YFeIr2
1.0
2.897 0.000 0.000
0.000 3.877 0.000
0.000 0.000 6.075
Y Fe Ir
1 1 2
direct
0.000 0.000 0.000 Y
0.500 0.500 0.325 Fe
0.000 0.000 0.489 Ir
0.500 0.500 0.731 Ir
```



(2)
Material: YFe3Ir
Method: DFT, PBE
State: relaxed

Summary:
* energy above the most stable polymorph in this dataset: 1405 meV per atom
* space group: Pm-3m

Cell and atoms, written as POSCAR:
```
YFe3Ir
1.0
4.505 0.000 0.000
0.000 4.505 0.000
0.000 0.000 4.505
Y Fe Ir
1 3 1
direct
0.000 0.000 0.000 Y
0.000 0.000 0.500 Fe
0.000 0.500 0.000 Fe
0.500 0.000 0.000 Fe
0.500 0.500 0.500 Ir
```



(3)
Material: Y2FeIr
Method: DFT, PBE
State: relaxed

Summary:
* space group: F-43m

Cell and atoms, written as POSCAR:
```
Y2FeIr
1.0
6.758 0.000 0.000
0.000 6.758 0.000
0.000 0.000 6.758
Y Fe Ir
8 4 4
direct
0.000 0.000 0.000 Y
0.000 0.500 0.500 Y
0.250 0.250 0.250 Y
0.250 0.750 0.750 Y
0.500 0.000 0.500 Y
0.500 0.500 0.000 Y
0.750 0.250 0.750 Y
0.750 0.750 0.250 Y
0.250 0.250 0.750 Fe
0.250 0.750 0.250 Fe
0.750 0.250 0.250 Fe
0.750 0.750 0.750 Fe
0.000 0.000 0.500 Ir
0.000 0.500 0.000 Ir
0.500 0.000 0.000 Ir
0.500 0.500 0.500 Ir
```



(4)
Material: Y2FeIr
Method: DFT, PBE
State: relaxed

Summary:
* space group: P4mm

Cell and atoms, written as POSCAR:
```
Y2FeIr
1.0
3.830 0.000 0.000
0.000 3.830 0.000
0.000 0.000 5.940
Y Fe Ir
2 1 1
direct
0.000 0.000 0.000 Y
0.500 0.500 0.375 Y
0.000 0.000 0.533 Fe
0.500 0.500 0.853 Ir
```



How do the records compare in formation enthalpy at 0 K? In the order shown, they have -0.0473 2.0447 -0.0042 0.0285 eV per atom.
How do the records compare in DFT total energy? In the order shown, they have -0.3017 -0.2241 -0.2781 -0.2769 hartree per atom.
How do the records compare in spin magnetization? In the order shown, they have 2.93 7.63 11.17 1.77 μB/cell.